# Dy2Al4Cu3Hg

Crystalline Dy2Al4Cu3Hg at its relaxed geometry (PBE, Alexandria).

Properties
Its magnetization is 0.00 μB per cell. The value obtained for the volume is 183.00 Å³/f.u. The calculation puts the formation energy at -361 kJ/mol of formula units. The space group is P-4m2 (115).

Lattice parameters (Å, degrees): 4.1882 4.1882 10.4326 90.00 90.00 90.00
Closest atoms and distances in Å follow each position.
Sites, in units of the cell vectors:
Dy 0.5000 0.0000 0.2401  8 Al 3.18-3.26, 6 Cu 3.19-3.43, 2 Hg 3.43
Dy 0.0000 0.5000 0.7599  8 Al 3.18-3.26, 6 Cu 3.19-3.43, 2 Hg 3.43
Al 0.5000 0.5000 0.0000  4 Cu 2.47
Al 0.0000 0.0000 0.0000  4 Cu 2.47
Al 0.5000 0.0000 0.6492  3 Cu 2.35-2.61, 2 Hg 2.61
Al 0.0000 0.5000 0.3508  3 Cu 2.35-2.61, 2 Hg 2.61
Cu 0.0000 0.0000 0.5000  4 Al 2.61
Cu 0.5000 0.0000 0.8747  5 Al 2.35-2.47
Cu 0.0000 0.5000 0.1253  5 Al 2.35-2.47
Hg 0.5000 0.5000 0.5000  4 Al 2.61


# Li2CuPS4

Crystalline Li2CuPS4 at its relaxed geometry (PBE, Alexandria).

Properties
Its magnetization is 0.00 μB per cell. The value obtained for the volume is 152.05 Å³/f.u. As for the formation energy without anion corrections: -0.716 eV per atom. The space group is I-4 (82).

Lattice parameters (Å, degrees): 5.5504 5.5495 6.3065 116.11 116.10 90.00
Closest atoms and distances in Å follow each position.
Sites, in units of the cell vectors:
Li 0.4858 0.9858 0.9717  4 S 2.41
Li 0.2357 0.2358 0.4717  4 S 2.53
Cu 0.9862 0.4862 0.9719  4 S 2.30
P 0.7359 0.7358 0.4718  4 S 2.07
S 0.6488 0.6317 0.7130  1 P 2.07, 1 Cu 2.30
S 0.8398 0.4075 0.2304  1 P 2.07, 1 Cu 2.30
S 0.3907 0.8231 0.2306  1 P 2.07, 1 Cu 2.30
S 0.0642 0.0811 0.7131  1 P 2.07, 1 Cu 2.30


# ScFe2Ni

Crystalline ScFe2Ni at its relaxed geometry (PBE, Alexandria).

Properties
Its magnetization is 4.58 μB per cell. The value obtained for the volume is 53.38 Å³/f.u. The calculation puts the formation energy at 23 kJ/mol of formula units. The space group is Fm-3m (225).

Lattice parameters (Å, degrees): 4.2264 4.2264 4.2264 60.00 60.00 60.00
Closest atoms and distances in Å follow each position.
Sites, in units of the cell vectors:
Sc 0.0000 0.0000 0.0000  8 Fe 2.59
Ni 0.5000 0.5000 0.5000  8 Fe 2.59
Fe 0.2500 0.2500 0.2500  4 Ni 2.59, 4 Sc 2.59
Fe 0.7500 0.7500 0.7500  4 Sc 2.59, 4 Ni 2.59


# Th3InHg

Crystalline Th3InHg at its relaxed geometry (PBE, Alexandria).

Properties
Its magnetization is 0.00 μB per cell. The value obtained for the volume is 145.35 Å³/f.u. Its energy above the most stable polymorph in this dataset is 0 meV/atom. The calculation puts the formation energy at -75 kJ/mol of formula units. The space group is P2_1/m (11).

Lattice parameters (Å, degrees): 3.5476 5.7246 15.2830 90.00 110.52 90.00
Closest atoms and distances in Å follow each position.
Sites, in units of the cell vectors:
Th 0.5835 0.7500 0.2219  2 Hg 3.27-3.28, 4 In 3.41-3.42, 4 Th 3.43-3.55
Th 0.4165 0.2500 0.7781  2 Hg 3.27-3.28, 4 In 3.41-3.42, 4 Th 3.43-3.55
Th 0.7746 0.7500 0.0165  4 In 3.35-3.72, 8 Th 3.40-3.55
Th 0.2254 0.2500 0.9835  4 In 3.35-3.72, 8 Th 3.40-3.55
Th 0.8372 0.2500 0.3914  6 Hg 3.29-3.38, 2 In 3.47-3.48, 2 Th 3.55
Th 0.1628 0.7500 0.6086  6 Hg 3.29-3.38, 2 In 3.47-3.48, 2 Th 3.55
In 0.9766 0.7500 0.8175  10 Th 3.35-3.72, 2 In 3.55
In 0.0234 0.2500 0.1825  10 Th 3.35-3.72, 2 In 3.55
Hg 0.3717 0.7500 0.4144  8 Th 3.27-3.38, 2 Hg 3.55
Hg 0.6283 0.2500 0.5856  8 Th 3.27-3.38, 2 Hg 3.55


# Cu3Br

Crystalline Cu3Br at its relaxed geometry (PBE, Alexandria).

Properties
Its magnetization is 0.00 μB per cell. The value obtained for the volume is 69.53 Å³/f.u. Its energy above the most stable polymorph in this dataset is 148 meV/atom. As for the formation energy without anion corrections: 0.251 eV per atom. The space group is P-6m2 (187).

Lattice parameters (Å, degrees): 3.6415 3.6415 6.0543 90.00 90.00 120.00
Closest atoms and distances in Å follow each position.
Sites, in units of the cell vectors:
Br 0.0000 0.0000 0.0000  8 Cu 2.76-3.03
Cu 0.0000 0.0000 0.5000  6 Cu 2.44
Cu 0.6667 0.3333 0.2945  4 Cu 2.44-2.49
Cu 0.6667 0.3333 0.7055  4 Cu 2.44-2.49


# InAs2Os

Crystalline InAs2Os at its relaxed geometry (PBE, Alexandria).

Properties
Its magnetization is 0.00 μB per cell. The value obtained for the volume is 72.25 Å³/f.u. The calculation puts the formation energy at 228 kJ/mol of formula units. The space group is Cmmm (65).

Lattice parameters (Å, degrees): 4.7562 6.5132 3.3603 59.03 89.95 120.19
Closest atoms and distances in Å follow each position.
Sites, in units of the cell vectors:
As 0.0000 0.0000 0.0000  2 As 2.79, 4 In 2.91, 4 Os 2.91
As 0.0000 0.5000 0.5000  2 As 2.79, 4 Os 2.91, 4 In 2.91
Os 0.5000 0.0000 0.5000  2 In 2.79, 8 As 2.91
In 0.5000 0.5000 0.0000  2 Os 2.79, 8 As 2.91


Please write out number 4 again, unchanged.
# Th3InHg

Crystalline Th3InHg at its relaxed geometry (PBE, Alexandria).

Properties
Its magnetization is 0.00 μB per cell. The value obtained for the volume is 145.35 Å³/f.u. Its energy above the most stable polymorph in this dataset is 0 meV/atom. The calculation puts the formation energy at -75 kJ/mol of formula units. The space group is P2_1/m (11).

Lattice parameters (Å, degrees): 3.5476 5.7246 15.2830 90.00 110.52 90.00
Closest atoms and distances in Å follow each position.
Sites, in units of the cell vectors:
Th 0.5835 0.7500 0.2219  2 Hg 3.27-3.28, 4 In 3.41-3.42, 4 Th 3.43-3.55
Th 0.4165 0.2500 0.7781  2 Hg 3.27-3.28, 4 In 3.41-3.42, 4 Th 3.43-3.55
Th 0.7746 0.7500 0.0165  4 In 3.35-3.72, 8 Th 3.40-3.55
Th 0.2254 0.2500 0.9835  4 In 3.35-3.72, 8 Th 3.40-3.55
Th 0.8372 0.2500 0.3914  6 Hg 3.29-3.38, 2 In 3.47-3.48, 2 Th 3.55
Th 0.1628 0.7500 0.6086  6 Hg 3.29-3.38, 2 In 3.47-3.48, 2 Th 3.55
In 0.9766 0.7500 0.8175  10 Th 3.35-3.72, 2 In 3.55
In 0.0234 0.2500 0.1825  10 Th 3.35-3.72, 2 In 3.55
Hg 0.3717 0.7500 0.4144  8 Th 3.27-3.38, 2 Hg 3.55
Hg 0.6283 0.2500 0.5856  8 Th 3.27-3.38, 2 Hg 3.55


Question: magnetization of number 6 (InAs2Os)?
Answer: 0.00 μB per cell


Question: What is the magnetization in the first record?
Answer: 0.00 μB per cell


Question: Among the records above, which one has the highest magnetization?
Answer: ScFe2Ni